No. 1
The following is a DFT calculation (PBE) of an optimized crystal structure of CsRbTlAu3.

Calculated values
Its space group is Pmma. The calculation puts the electronic total energy at -2.61 eV per atom.

Cell lengths 5.8148, 6.8888, 9.2725 Å; angles 90.00, 90.00, 90.00 degrees
Fractional positions:
Cs 0.2500 0.0000 0.1293
Cs 0.7500 0.0000 0.8707
Rb 0.2500 0.5000 0.3680
Rb 0.7500 0.5000 0.6320
Tl 0.2500 0.5000 0.9259
Tl 0.7500 0.5000 0.0741
Au 0.0000 0.0000 0.5000
Au 0.2500 0.2130 0.7106
Au 0.2500 0.7870 0.7106
Au 0.5000 0.0000 0.5000
Au 0.7500 0.2130 0.2894
Au 0.7500 0.7870 0.2894

***

No. 2
The following is a DFT calculation (PBE) of an optimized crystal structure of GaIr2Os4.

Calculated values
As for the total moment: 0.00 μB/f.u. Its space group is P4/mmm. The calculation puts the electronic total energy at -8.90 eV per atom.

Cell lengths 3.7422, 3.7422, 7.7838 Å; angles 90.00, 90.00, 90.00 degrees
Fractional positions:
Ga 0.0000 0.0000 0.0000
Ir 0.0000 0.0000 0.5000
Ir 0.5000 0.5000 0.0000
Os 0.0000 0.5000 0.2628
Os 0.0000 0.5000 0.7372
Os 0.5000 0.0000 0.2628
Os 0.5000 0.0000 0.7372

***

No. 3
The following is a DFT calculation (PBE) of an optimized crystal structure of PmDyTa.

Calculated values
As for the total moment: 1.16 μB/f.u. Its space group is F-43m. For the formation energy, the calculation gives 1.333 eV per atom.

Cell lengths 5.0213, 5.0213, 5.0213 Å; angles 60.00, 60.00, 60.00 degrees
Fractional positions:
Pm 0.0000 0.0000 0.0000
Dy 0.7500 0.7500 0.7500
Ta 0.2500 0.2500 0.2500

***

| no. | ρ (g/cm3) |
| --- | --- |
| 1 | 9.06 |
| 2 | 18.51 |
| 3 | 9.06 |